The following is a DFT calculation (PBE-GGA) of a relaxed structure of CaMgZn2.

extended XYZ file:
```
4
Lattice="3.445 0.000 0.000 0.000 3.445 0.000 0.000 0.000 7.432" Properties=species:S:1:pos:R:3 pbc="T T T"
Ca 0.000 0.000 0.000
Mg 1.723 1.723 2.501
Zn 0.000 0.000 4.135
Zn 1.723 1.723 5.455
```

The uncorrected energy comes out at -1.62 eV/atom. For the formation energy, the calculation gives -0.3 eV per formula unit.

The following is a DFT calculation (PBE-GGA) of a relaxed structure of Ca2MgZn.

extended XYZ file:
```
8
Lattice="4.810 0.000 0.000 -2.405 4.165 0.000 0.000 0.000 12.550" Properties=species:S:1:pos:R:3 pbc="T T T"
Ca 0.000 2.777 1.323
Ca 0.000 2.777 4.952
Ca 2.405 1.388 7.599
Ca 2.405 1.388 11.227
Mg 0.000 2.777 9.413
Mg 2.405 1.388 3.138
Zn 0.000 0.000 3.138
Zn 0.000 0.000 9.413
```

The uncorrected energy comes out at -1.76 eV/atom. The calculation puts the energy above the lowest structure with this stoichiometry at 0.48 eV/f.u. For the formation energy, the calculation gives -0.2 eV per formula unit.